(1)
VASP calculation (PBEsol) on crystalline Pm2RuAu at its relaxed geometry.

Unit cell a=4.989 b=4.989 c=4.989 alpha=60.00 beta=60.00 gamma=60.00
Element x y z (fractional)
Pm 0.250 0.250 0.250
Pm 0.750 0.750 0.750
Ru 0.000 0.000 0.000
Au 0.500 0.500 0.500

Output
electronic total energy = -6.50 eV/atom
calculated volume = 21.95 Å³ per atom
SG = Fm-3m, No. 225
D(E_F) = 2.38 states/eV/cell
energy relative to the elements = -0.411 eV/atom

(2)
VASP calculation (PBEsol) on crystalline Pm2SnAu at its relaxed geometry.

Unit cell a=5.258 b=5.258 c=5.258 alpha=60.00 beta=60.00 gamma=60.00
Element x y z (fractional)
Pm 0.250 0.250 0.250
Pm 0.750 0.750 0.750
Sn 0.000 0.000 0.000
Au 0.500 0.500 0.500

Output
electronic total energy = -5.34 eV/atom
calculated volume = 25.69 Å³ per atom
SG = Fm-3m, No. 225
D(E_F) = 3.86 states/eV/cell
energy relative to the elements = -0.721 eV/atom

(3)
VASP calculation (PBEsol) on crystalline PmTlAu2 at its relaxed geometry.

Unit cell a=4.980 b=4.980 c=4.980 alpha=60.00 beta=60.00 gamma=60.00
Element x y z (fractional)
Pm 0.000 0.000 0.000
Tl 0.500 0.500 0.500
Au 0.250 0.250 0.250
Au 0.750 0.750 0.750

Output
electronic total energy = -4.48 eV/atom
calculated volume = 21.84 Å³ per atom
SG = Fm-3m, No. 225
D(E_F) = 1.72 states/eV/cell
energy relative to the elements = -0.579 eV/atom

(4)
VASP calculation (PBEsol) on crystalline PmZnAu2 at its relaxed geometry.

Unit cell a=4.824 b=4.824 c=4.824 alpha=60.00 beta=60.00 gamma=60.00
Element x y z (fractional)
Pm 0.000 0.000 0.000
Zn 0.500 0.500 0.500
Au 0.250 0.250 0.250
Au 0.750 0.750 0.750

Output
electronic total energy = -4.21 eV/atom
calculated volume = 19.84 Å³ per atom
SG = Fm-3m, No. 225
D(E_F) = 2.34 states/eV/cell
energy relative to the elements = -0.568 eV/atom

(5)
VASP calculation (PBEsol) on crystalline PmZn2Au at its relaxed geometry.

Unit cell a=4.681 b=4.681 c=4.681 alpha=60.00 beta=60.00 gamma=60.00
Element x y z (fractional)
Pm 0.000 0.000 0.000
Zn 0.250 0.250 0.250
Zn 0.750 0.750 0.750
Au 0.500 0.500 0.500

Output
electronic total energy = -3.53 eV/atom
calculated volume = 18.14 Å³ per atom
SG = Fm-3m, No. 225
D(E_F) = 1.11 states/eV/cell
energy relative to the elements = -0.469 eV/atom

(6)
VASP calculation (PBEsol) on crystalline PrAu2 at its relaxed geometry.

Unit cell a=5.895 b=5.895 c=5.895 alpha=133.95 beta=106.75 gamma=91.01
Element x y z (fractional)
Pr 0.289 0.039 0.250
Pr 0.711 0.961 0.750
Au 0.125 0.662 0.463
Au 0.300 0.338 0.963
Au 0.700 0.662 0.037
Au 0.875 0.338 0.537

Output
electronic total energy = -5.10 eV/atom
calculated volume = 22.33 Å³ per atom
SG = Imma, No. 74
D(E_F) = 3.80 states/eV/cell
energy relative to the elements = -0.755 eV/atom

(7)
VASP calculation (PBEsol) on crystalline PrAu at its relaxed geometry.

Unit cell a=3.676 b=3.676 c=3.676 alpha=90.00 beta=90.00 gamma=90.00
Element x y z (fractional)
Pr 0.000 0.000 0.000
Au 0.500 0.500 0.500

Output
electronic total energy = -5.28 eV/atom
calculated volume = 24.83 Å³ per atom
SG = Pm-3m, No. 221
D(E_F) = 1.59 states/eV/cell
energy relative to the elements = -0.723 eV/atom

(8)
VASP calculation (PBEsol) on crystalline PrAu at its relaxed geometry.

Unit cell a=7.440 b=4.757 c=5.782 alpha=90.00 beta=90.00 gamma=90.00
Element x y z (fractional)
Pr 0.185 0.250 0.142
Pr 0.315 0.750 0.642
Pr 0.685 0.250 0.358
Pr 0.815 0.750 0.858
Au 0.039 0.250 0.646
Au 0.461 0.750 0.146
Au 0.539 0.250 0.854
Au 0.961 0.750 0.354

Output
electronic total energy = -5.34 eV/atom
calculated volume = 25.58 Å³ per atom
SG = Pnma, No. 62
D(E_F) = 4.84 states/eV/cell
energy relative to the elements = -0.781 eV/atom

(9)
VASP calculation (PBEsol) on crystalline PrSb2Au at its relaxed geometry.

Unit cell a=4.400 b=4.400 c=10.216 alpha=90.00 beta=90.00 gamma=90.00
Element x y z (fractional)
Pr 0.250 0.250 0.247
Pr 0.750 0.750 0.753
Sb 0.250 0.250 0.676
Sb 0.250 0.750 0.000
Sb 0.750 0.250 0.000
Sb 0.750 0.750 0.324
Au 0.250 0.750 0.500
Au 0.750 0.250 0.500

Output
electronic total energy = -5.31 eV/atom
calculated volume = 24.72 Å³ per atom
SG = P4/nmm, No. 129
D(E_F) = 2.77 states/eV/cell
formation energy (no corrections) = -0.756 eV/atom

(10)
VASP calculation (PBEsol) on crystalline PrSi2Au2 at its relaxed geometry.

Unit cell a=5.921 b=5.921 c=5.921 alpha=137.57 beta=137.57 gamma=61.56
Element x y z (fractional)
Pr 0.000 0.000 0.000
Si 0.385 0.385 0.000
Si 0.615 0.615 0.000
Au 0.250 0.750 0.500
Au 0.750 0.250 0.500

Output
electronic total energy = -5.60 eV/atom
calculated volume = 18.68 Å³ per atom
SG = I4/mmm, No. 139
D(E_F) = 1.20 states/eV/cell
formation energy (no corrections) = -0.699 eV/atom

(11)
VASP calculation (PBEsol) on crystalline PrSnAu2 at its relaxed geometry.

Unit cell a=4.999 b=4.999 c=4.999 alpha=60.00 beta=60.00 gamma=60.00
Element x y z (fractional)
Pr 0.000 0.000 0.000
Sn 0.500 0.500 0.500
Au 0.250 0.250 0.250
Au 0.750 0.750 0.750

Output
electronic total energy = -5.01 eV/atom
calculated volume = 22.08 Å³ per atom
SG = Fm-3m, No. 225
D(E_F) = 1.20 states/eV/cell
energy relative to the elements = -0.687 eV/atom

(12)
VASP calculation (PBEsol) on crystalline Pr3Sn5Au6 at its relaxed geometry.

Unit cell a=4.515 b=13.423 c=10.377 alpha=90.00 beta=90.00 gamma=90.00
Element x y z (fractional)
Pr 0.250 0.068 0.246
Pr 0.250 0.432 0.246
Pr 0.250 0.750 0.244
Pr 0.750 0.250 0.756
Pr 0.750 0.568 0.754
Pr 0.750 0.932 0.754
Sn 0.250 0.085 0.878
Sn 0.250 0.415 0.878
Sn 0.250 0.610 0.523
Sn 0.250 0.750 0.773
Sn 0.250 0.890 0.523
Sn 0.750 0.110 0.477
Sn 0.750 0.250 0.227
Sn 0.750 0.390 0.477
Sn 0.750 0.585 0.122
Sn 0.750 0.915 0.122
Au 0.250 0.086 0.623
Au 0.250 0.250 0.036
Au 0.250 0.250 0.449
Au 0.250 0.414 0.623
Au 0.250 0.608 0.976
Au 0.250 0.892 0.976
Au 0.750 0.108 0.024
Au 0.750 0.392 0.024
Au 0.750 0.586 0.377
Au 0.750 0.750 0.551
Au 0.750 0.750 0.964
Au 0.750 0.914 0.377

Output
electronic total energy = -4.97 eV/atom
calculated volume = 22.46 Å³ per atom
SG = Pmmn, No. 59
D(E_F) = 10.63 states/eV/cell
energy relative to the elements = -0.660 eV/atom